[1]
VASP calculation (PBE) on a geometry-optimized BaCaMg2Co structure.

Results
As for the crystal system: tetragonal. The formation energy comes out at 100 meV per atom.

The structure in CIF format:
```
data_BaCaMg2Co
_symmetry_space_group_name_H-M 'P 1'
_symmetry_Int_Tables_number 1
_cell_length_a 5.240
_cell_length_b 5.240
_cell_length_c 5.235
_cell_angle_alpha 90.00
_cell_angle_beta 90.00
_cell_angle_gamma 90.00
loop_
_symmetry_equiv_pos_as_xyz
'x,y,z'
loop_
_atom_site_label
_atom_site_type_symbol
_atom_site_fract_x
_atom_site_fract_y
_atom_site_fract_z
_atom_site_occupancy
Mg1 Mg 0.000 0.500 0.000 1
Mg2 Mg 0.500 0.000 0.000 1
Ca1 Ca 0.000 0.000 0.500 1
Co1 Co 0.000 0.000 0.000 1
Ba1 Ba 0.500 0.500 0.500 1
```

[2]
VASP calculation (PBE) on a geometry-optimized BaCaCo2Mo structure.

Results
As for the crystal system: tetragonal. The formation energy comes out at 1697 meV per atom.

The structure in CIF format:
```
data_BaCaCo2Mo
_symmetry_space_group_name_H-M 'P 1'
_symmetry_Int_Tables_number 1
_cell_length_a 5.018
_cell_length_b 5.344
_cell_length_c 5.018
_cell_angle_alpha 90.00
_cell_angle_beta 90.00
_cell_angle_gamma 90.00
loop_
_symmetry_equiv_pos_as_xyz
'x,y,z'
loop_
_atom_site_label
_atom_site_type_symbol
_atom_site_fract_x
_atom_site_fract_y
_atom_site_fract_z
_atom_site_occupancy
Mo1 Mo 0.000 0.500 0.000 1
Ca1 Ca 0.000 0.000 0.000 1
Co1 Co 0.000 0.000 0.500 1
Co2 Co 0.500 0.000 0.000 1
Ba1 Ba 0.500 0.500 0.500 1
```

[3]
VASP calculation (PBE) on a geometry-optimized BaCaCoN2 structure.

Results
As for the crystal system: orthorhombic. The uncorrected formation energy comes out at -0.30 eV per atom.

The structure in CIF format:
```
data_BaCaCoN2
_symmetry_space_group_name_H-M 'P 1'
_symmetry_Int_Tables_number 1
_cell_length_a 4.424
_cell_length_b 7.384
_cell_length_c 7.272
_cell_angle_alpha 120.51
_cell_angle_beta 90.00
_cell_angle_gamma 90.00
loop_
_symmetry_equiv_pos_as_xyz
'x,y,z'
loop_
_atom_site_label
_atom_site_type_symbol
_atom_site_fract_x
_atom_site_fract_y
_atom_site_fract_z
_atom_site_occupancy
Ba1 Ba 0.228 0.750 0.500 1
Ba2 Ba 0.772 0.250 0.500 1
Ca1 Ca 0.500 0.750 0.000 1
Ca2 Ca 0.500 0.250 0.000 1
Co1 Co 0.000 0.000 0.000 1
Co2 Co 0.000 0.500 0.000 1
N1 N 0.741 0.897 0.793 1
N2 N 0.741 0.603 0.207 1
N3 N 0.259 0.397 0.793 1
N4 N 0.259 0.103 0.207 1
```

[4]
VASP calculation (PBE) on a geometry-optimized Ba2CaCoN structure.

Results
As for the crystal system: tetragonal. The uncorrected formation energy comes out at 0.06 eV per atom.

The structure in CIF format:
```
data_Ba2CaCoN
_symmetry_space_group_name_H-M 'P 1'
_symmetry_Int_Tables_number 1
_cell_length_a 6.118
_cell_length_b 3.643
_cell_length_c 6.118
_cell_angle_alpha 90.00
_cell_angle_beta 90.00
_cell_angle_gamma 90.00
loop_
_symmetry_equiv_pos_as_xyz
'x,y,z'
loop_
_atom_site_label
_atom_site_type_symbol
_atom_site_fract_x
_atom_site_fract_y
_atom_site_fract_z
_atom_site_occupancy
Ca1 Ca 0.500 0.500 0.500 1
Co1 Co 0.000 0.500 0.000 1
Ba1 Ba 0.000 0.000 0.500 1
Ba2 Ba 0.500 0.000 0.000 1
N1 N 0.000 0.000 0.000 1
```

[5]
VASP calculation (PBE) on a geometry-optimized BaNaCaCo2 structure.

Results
As for the crystal system: tetragonal. The formation energy comes out at 1308 meV per atom.

The structure in CIF format:
```
data_BaNaCaCo2
_symmetry_space_group_name_H-M 'P 1'
_symmetry_Int_Tables_number 1
_cell_length_a 5.005
_cell_length_b 5.551
_cell_length_c 5.005
_cell_angle_alpha 90.00
_cell_angle_beta 90.00
_cell_angle_gamma 90.00
loop_
_symmetry_equiv_pos_as_xyz
'x,y,z'
loop_
_atom_site_label
_atom_site_type_symbol
_atom_site_fract_x
_atom_site_fract_y
_atom_site_fract_z
_atom_site_occupancy
Na1 Na 0.000 0.500 0.000 1
Ca1 Ca 0.500 0.500 0.500 1
Co1 Co 0.000 0.000 0.500 1
Co2 Co 0.500 0.000 0.000 1
Ba1 Ba 0.000 0.000 0.000 1
```

[6]
VASP calculation (PBE) on a geometry-optimized Ba2NaCaCo structure.

Results
As for the crystal system: tetragonal. The formation energy comes out at 183 meV per atom.

The structure in CIF format:
```
data_Ba2NaCaCo
_symmetry_space_group_name_H-M 'P 1'
_symmetry_Int_Tables_number 1
_cell_length_a 6.035
_cell_length_b 6.035
_cell_length_c 5.673
_cell_angle_alpha 90.00
_cell_angle_beta 90.00
_cell_angle_gamma 90.00
loop_
_symmetry_equiv_pos_as_xyz
'x,y,z'
loop_
_atom_site_label
_atom_site_type_symbol
_atom_site_fract_x
_atom_site_fract_y
_atom_site_fract_z
_atom_site_occupancy
Na1 Na 0.500 0.500 0.500 1
Ca1 Ca 0.000 0.000 0.500 1
Co1 Co 0.000 0.000 0.000 1
Ba1 Ba 0.000 0.500 0.000 1
Ba2 Ba 0.500 0.000 0.000 1
```

Calculated values (μB/cell) of total magnetic moment for the records, taken in order: 0.00 6.10 2.32 0.00 0.00 0.34.